# 1
Entry from Alexandria: a relaxed AgHg3 crystal (PBEsol).

Unit cell a=3.0814 b=3.0814 c=8.7070 alpha=90.00 beta=90.00 gamma=90.00
Closest atoms and distances in Å follow each position.
Space group P4/mmm (No. 123)
Inequivalent atoms, fractional coordinates:
Ag1 0.0000 0.0000 0.0000  8 Hg 2.96, 4 Ag 3.08
Hg1 0.0000 0.0000 0.5000  12 Hg 3.08-3.20
Hg2 0.5000 0.5000 0.2308  4 Ag 2.96, 8 Hg 3.08-3.20

E_tot ... -4.8 eV per cell

# 2
Entry from Alexandria: a relaxed Cd2ReSe2 crystal (PBEsol).

Unit cell a=3.5276 b=3.5276 c=17.5140 alpha=90.00 beta=90.00 gamma=90.00
Closest atoms and distances in Å follow each position.
Space group I4/mmm (No. 139)
Inequivalent atoms, fractional coordinates:
Cd1 0.0000 0.0000 0.0843  4 Re 2.90, 1 Cd 2.95
Re1 0.0000 0.0000 0.5000  8 Cd 2.90
Se1 0.0000 0.5000 0.2500  4 Se 2.49

ΔE_f (raw) ... 84.5 kJ per mole of atoms

# 3
Entry from Alexandria: a relaxed Re3Pd crystal (PBEsol).

Unit cell a=5.5042 b=5.5042 c=4.3970 alpha=90.00 beta=90.00 gamma=120.00
Closest atoms and distances in Å follow each position.
Space group P6_3/mmc (No. 194)
Inequivalent atoms, fractional coordinates:
Re1 0.1611 0.3222 0.2500  8 Re 2.66-2.84, 4 Pd 2.74-2.75
Pd1 0.3333 0.6667 0.7500  12 Re 2.74-2.75

E_tot ... -92.6 eV per cell

# 4
Entry from Alexandria: a relaxed Ca2AlTe crystal (PBEsol).

Unit cell a=7.1161 b=4.1047 c=8.7897 alpha=90.00 beta=105.59 gamma=90.00
Closest atoms and distances in Å follow each position.
Space group C2/m (No. 12)
Inequivalent atoms, fractional coordinates:
Ca1 0.2430 0.0000 0.2298  3 Te 3.07, 3 Al 3.29-3.30
Al1 0.0000 0.0000 0.5000  6 Ca 3.29-3.30
Te1 0.0000 0.5000 0.0000  6 Ca 3.07

ΔE_f (raw) ... -60.1 kJ per mole of atoms
Excess energy over the best structure of this formula in the dataset ... 0.018 eV/atom

# 5
Entry from Alexandria: a relaxed CaMnTc2 crystal (PBEsol).

Unit cell a=5.3902 b=9.1398 c=2.5331 alpha=90.00 beta=90.00 gamma=90.00
Closest atoms and distances in Å follow each position.
Space group Cmmm (No. 65)
Inequivalent atoms, fractional coordinates:
Ca1 0.0000 0.0000 0.0000  2 Ca 2.53, 2 Mn 2.70
Mn1 0.0000 0.5000 0.0000  2 Mn 2.53, 2 Ca 2.70
Tc1 0.2500 0.2500 0.5000  4 Tc 2.53-2.70

Excess energy over the best structure of this formula in the dataset ... 0.169 eV/atom

# 6
Entry from Alexandria: a relaxed LaHg2Os crystal (PBEsol).

Unit cell a=7.0033 b=7.0033 c=7.0033 alpha=90.00 beta=90.00 gamma=90.00
Closest atoms and distances in Å follow each position.
Space group Fm-3m (No. 225)
Inequivalent atoms, fractional coordinates:
La1 0.0000 0.0000 0.0000  8 Hg 3.03
Hg1 0.2500 0.2500 0.2500  4 La 3.03, 4 Os 3.03
Os1 0.0000 0.0000 0.5000  8 Hg 3.03

E_tot ... -70.1 eV per cell

# 7
Entry from Alexandria: a relaxed K3OsBr crystal (PBEsol).

Unit cell a=5.9692 b=5.9692 c=5.9692 alpha=90.00 beta=90.00 gamma=90.00
Closest atoms and distances in Å follow each position.
Space group Pm-3m (No. 221)
Inequivalent atoms, fractional coordinates:
K1 0.0000 0.0000 0.5000  2 Os 2.98
Os1 0.0000 0.0000 0.0000  6 K 2.98
Br1 0.5000 0.5000 0.5000  12 K 4.22

ΔE_f (raw) ... 66.3 kJ per mole of atoms

# 8
Entry from Alexandria: a relaxed LaAg2Os crystal (PBEsol).

Unit cell a=10.0765 b=3.2020 c=5.3333 alpha=90.00 beta=114.08 gamma=90.00
Closest atoms and distances in Å follow each position.
Space group Cm (No. 8)
Inequivalent atoms, fractional coordinates:
La1 0.0000 0.0000 0.0000  3 Os 2.78-2.81, 3 Ag 3.09-3.11
Ag1 0.0543 0.5000 0.5338  2 Os 2.76, 3 Ag 2.85-2.89
Ag2 0.2949 0.5000 0.3829  2 Os 2.82, 3 Ag 2.85-2.89, 1 La 3.09
Os1 0.2572 0.0000 0.9243  4 Ag 2.76-2.82, 3 La 2.78-2.81

Excess energy over the best structure of this formula in the dataset ... 0.066 eV/atom